Entry 1:
# Li2HfTi

Crystalline Li2HfTi at its relaxed geometry (PBE-GGA, the Alexandria database).

Computed properties:
D(E_F): 12.67 states/eV/cell
E above lowest polymorph: 136.9 meV per atom
energy relative to the elements: 0.62 eV/atom
total DFT energy (no corrections): -19.21 eV/f.u.

a b c (Å): 7.3962 7.3962 5.1811
angles (deg): 90.00 90.00 90.00
Closest atoms and distances in Å follow each position.
Space group I-42d (No. 122)
Unique sites:
Li: 0.2367 0.7500 0.1250  2 Li 2.60, 2 Ti 2.63, 2 Hf 2.76
Hf: 0.0000 0.0000 0.5000  2 Ti 2.59, 4 Li 2.76
Ti: 0.0000 0.0000 0.0000  2 Hf 2.59, 4 Li 2.63



Entry 2:
# NdSmTlBi

Crystalline NdSmTlBi at its relaxed geometry (PBE-GGA, the Alexandria database).

Computed properties:
D(E_F): 18.71 states/eV/cell
energy relative to the elements: -0.47 eV/atom
total DFT energy (no corrections): -17.61 eV/f.u.

a b c (Å): 7.8593 7.8593 7.8593
angles (deg): 90.00 90.00 90.00
Closest atoms and distances in Å follow each position.
Space group F-43m (No. 216)
Unique sites:
Nd: 0.0000 0.0000 0.0000  4 Tl 3.40, 4 Bi 3.40
Sm: 0.0000 0.0000 0.5000  4 Bi 3.40, 4 Tl 3.40
Tl: 0.2500 0.2500 0.7500  4 Nd 3.40, 4 Sm 3.40
Bi: 0.2500 0.2500 0.2500  4 Nd 3.40, 4 Sm 3.40



Entry 3:
# NaSr2YRh

Crystalline NaSr2YRh at its relaxed geometry (PBE-GGA, the Alexandria database).

Computed properties:
D(E_F): 2.98 states/eV/cell
energy relative to the elements: -0.17 eV/atom
total DFT energy (no corrections): -19.32 eV/f.u.

a b c (Å): 6.0195 6.0195 5.3414
angles (deg): 90.00 90.00 90.00
Closest atoms and distances in Å follow each position.
Space group P4/mmm (No. 123)
Unique sites:
Na: 0.0000 0.0000 0.0000  8 Sr 4.02, 4 Y 4.26
Sr: 0.0000 0.5000 0.5000  2 Rh 3.01
Y: 0.5000 0.5000 0.0000  2 Rh 2.67
Rh: 0.5000 0.5000 0.5000  2 Y 2.67